The following is a PBE calculation of a relaxed EuZnIn crystal, from Alexandria.

Unit cell a=4.8455 b=4.8455 c=3.7972 alpha=90.00 beta=90.00 gamma=120.00
Space group P-6m2 (No. 187)
Inequivalent atoms, fractional coordinates:
Eu (0.0000, 0.0000, 0.0000) x1
Zn (0.6667, 0.3333, 0.5000) x1
In (0.3333, 0.6667, 0.5000) x1

The total energy comes out at -15.42 eV for the cell shown. Its total magnetization is 7.19 μB/f.u. The formation enthalpy at 0 K comes out at -0.38 eV/atom.